Entry 1:
Computed, not measured: a relaxed structure of ErZn5Ag2 at the PBE level of DFT.

The structure belongs to space group Immm (No. 71); the cell edges are 3.571, 7.554 and 10.673 Å and the angles 90.00°, 90.00° and 90.00°. The distinct sites, in fractional coordinates, are Er at (0.000, 0.000, 0.000), Zn at (0.000, 0.200, 0.375), Zn at (0.000, 0.500, 0.000) and Ag at (0.000, 0.500, 0.256).

Its energy is -35.440 eV/cell. Its crystal system is orthorhombic.

***

Entry 2:
Computed, not measured: a relaxed structure of Er6Zn2Ag at the PBE level of DFT.

The structure belongs to space group I4/mmm (No. 139); the cell edges are 4.913, 4.913 and 20.997 Å and the angles 90.00°, 90.00° and 90.00°. The distinct sites, in fractional coordinates, are Er at (0.000, 0.500, 0.086), Er at (0.000, 0.500, 0.250), Zn at (0.000, 0.000, 0.167) and Ag at (0.000, 0.000, 0.500).

The energy relative to the lowest polymorph listed for this composition comes out at 176 kJ/mol of formula units. Its energy is -65.271 eV/cell. Its crystal system is tetragonal.

***

Sequential formation energy from the elements output: -0.136, 0.016 eV per atom